Density functional theory data (PBE) for a relaxed structure of K2NaSn5.

Cell: 10.386 11.069 6.875 Å, 90.00 130.84 90.00°
Space group C2 (No. 5)
Inequivalent atoms, fractional coordinates:
K: 0.000 0.000 0.000
K: 0.000 0.450 0.000
Na: 0.000 0.225 0.500
Sn: 0.000 0.527 0.500
Sn: 0.174 0.736 0.457
Sn: 0.189 0.727 0.908

Results
Energy relative to the elements: -0.165 eV per atom
Magnetization: 0.0 μB/cell
DOS at the Fermi energy: 0.1666 states/eV per atom